A plane-wave DFT calculation with PBE-GGA was carried out for crystalline Nb2SeO at its relaxed geometry.

formation energy (no corrections): -499 meV per atom
energy: -7.644 eV per atom
polymorph energy (0 for the lowest one): 250 meV per atom

```
data_Nb2SeO
_symmetry_space_group_name_H-M 'F m -3 m'
_symmetry_Int_Tables_number 225
_symmetry_space_group_name_Hall '-F 4 2 3'
_cell_length_a 6.147
_cell_length_b 6.147
_cell_length_c 6.147
_cell_angle_alpha 90.00
_cell_angle_beta 90.00
_cell_angle_gamma 90.00
loop_
_atom_site_label
_atom_site_type_symbol
_atom_site_fract_x
_atom_site_fract_y
_atom_site_fract_z
Nb1 Nb 0.250 0.250 0.250
Se1 Se 0.000 0.000 0.000
O1 O 0.000 0.000 0.500
```